1.
Crystalline CuSbPd3 at its relaxed geometry. Source: the Alexandria database, functional GGA-PBE.

Calculated values
Size of the total moment = 0.00 μB per atom
Calculated density = 10.483 g cm⁻³
Relative energy among the computed polymorphs = 0.000 eV per atom
N(E_F) = 1.8 states/eV/f.u.
Formation energy (no corrections) = -0.31 eV/atom

abc: 4.401 5.308 7.462
angles: 113.50 90.00 90.00
Fractional coordinates of all 10 atoms:
Cu1 0.015 0.019 0.296
Cu2 0.515 0.749 0.087
Sb1 0.515 0.185 0.887
Sb2 0.015 0.583 0.496
Pd1 0.015 0.214 0.684
Pd2 0.515 0.279 0.270
Pd3 0.015 0.880 0.919
Pd4 0.015 0.489 0.113
Pd5 0.515 0.554 0.699
Pd6 0.515 0.887 0.465


2.
Crystalline Pr4ErIn at its relaxed geometry. Source: the Alexandria database, functional GGA-PBE.

Calculated values
Formation energy from the elements = 0.75 eV per formula unit
Size of the total moment = 0.00 μB per atom
Calculated density = 6.594 g cm⁻³
Relative energy among the computed polymorphs = 0.184 eV per atom
N(E_F) = 7.5 states/eV/f.u.

abc: 5.090 6.351 13.421
angles: 90.00 100.93 90.00
Fractional coordinates of all 12 atoms:
Pr1 0.727 0.979 0.454
Pr2 0.678 0.503 0.355
Pr3 0.476 0.994 0.951
Pr4 0.524 0.494 0.049
Pr5 0.273 0.479 0.546
Pr6 0.108 0.701 0.216
Pr7 0.892 0.201 0.784
Pr8 0.322 0.003 0.645
Er1 0.400 0.567 0.800
Er2 0.600 0.067 0.200
In1 0.837 0.689 0.674
In2 0.163 0.189 0.326


3.
Crystalline Mg4GaPb at its relaxed geometry. Source: the Alexandria database, functional GGA-PBE.

Calculated values
Formation energy from the elements = 0.51 eV per formula unit
Size of the total moment = 0.00 μB per atom
Calculated density = 4.295 g cm⁻³
Relative energy among the computed polymorphs = 0.155 eV per atom
N(E_F) = 4.1 states/eV/f.u.

abc: 5.892 5.892 5.892
angles: 60.00 60.00 60.00
Fractional coordinates of all 6 atoms:
Pb1 0.250 0.250 0.250
Mg1 0.625 0.124 0.625
Mg2 0.124 0.625 0.625
Mg3 0.625 0.625 0.124
Mg4 0.625 0.625 0.625
Ga1 0.000 0.000 0.000


4.
Crystalline Li3Zn2Ag2Au4 at its relaxed geometry. Source: the Alexandria database, functional GGA-PBE.

Calculated values
Formation energy from the elements = -3.08 eV per formula unit
Size of the total moment = 0.00 μB per atom
Calculated density = 10.128 g cm⁻³
N(E_F) = 3.7 states/eV/f.u.

abc: 4.447 4.447 11.058
angles: 90.00 90.00 120.00
Fractional coordinates of all 11 atoms:
Au1 0.333 0.667 0.314
Au2 0.667 0.333 0.686
Au3 0.333 0.667 0.842
Au4 0.667 0.333 0.158
Li1 0.000 0.000 0.716
Li2 0.000 0.000 0.284
Li3 0.000 0.000 0.000
Zn1 0.333 0.667 0.081
Zn2 0.667 0.333 0.919
Ag1 0.667 0.333 0.433
Ag2 0.333 0.667 0.567


5.
Crystalline Yb5Si3 at its relaxed geometry. Source: the Alexandria database, functional GGA-PBE.

Calculated values
Size of the total moment = 0.14 μB per atom
Calculated density = 7.715 g cm⁻³
N(E_F) = 60.7 states/eV/f.u.
Formation energy (no corrections) = -0.52 eV/atom

abc: 8.577 8.577 6.416
angles: 90.00 90.00 120.00
Each line ends with the local moment (μB).
Fractional coordinates of all 16 atoms:
Yb1 0.333 0.667 0.000  0.17
Yb2 0.000 0.731 0.750  0.22
Yb3 0.269 0.000 0.250  0.22
Yb4 0.731 0.731 0.250  0.22
Yb5 0.667 0.333 0.000  0.17
Yb6 0.333 0.667 0.500  0.17
Yb7 0.731 0.000 0.750  0.22
Yb8 0.269 0.269 0.750  0.22
Yb9 0.667 0.333 0.500  0.17
Yb10 0.000 0.269 0.250  0.22
Si1 0.000 0.617 0.250  0.02
Si2 0.000 0.383 0.750  0.02
Si3 0.383 0.000 0.750  0.02
Si4 0.383 0.383 0.250  0.02
Si5 0.617 0.617 0.750  0.02
Si6 0.617 0.000 0.250  0.02


6.
Crystalline LiAc3Sm2Se6 at its relaxed geometry. Source: the Alexandria database, functional GGA-PBE.

Calculated values
Size of the total moment = 0.00 μB per atom
Calculated density = 7.199 g cm⁻³
N(E_F) = 5.6 states/eV/f.u.
Formation energy (no corrections) = -1.79 eV/atom

abc: 7.473 7.473 7.423
angles: 99.69 99.69 120.18
Fractional coordinates of all 12 atoms:
Se1 0.752 0.752 0.226
Se2 0.925 0.601 0.775
Se3 0.399 0.075 0.225
Se4 0.248 0.248 0.774
Se5 0.601 0.925 0.775
Se6 0.075 0.399 0.225
Ac1 0.168 0.832 0.500
Ac2 0.832 0.168 0.500
Ac3 0.500 0.500 0.500
Sm1 0.666 0.334 0.000
Sm2 0.334 0.666 0.000
Li1 0.000 0.000 0.000


7.
Crystalline KSr3Rh at its relaxed geometry. Source: the Alexandria database, functional GGA-PBE.

Calculated values
Formation energy from the elements = -0.55 eV per formula unit
Size of the total moment = 0.00 μB per atom
Calculated density = 2.845 g cm⁻³
Relative energy among the computed polymorphs = 0.026 eV per atom
N(E_F) = 3.2 states/eV/f.u.

abc: 7.371 4.432 14.708
angles: 90.04 79.56 90.03
Fractional coordinates of all 10 atoms:
K1 0.535 0.310 0.849
K2 0.033 0.810 0.858
Sr1 0.080 0.313 0.120
Sr2 0.598 0.812 0.116
Sr3 0.245 0.314 0.589
Sr4 0.694 0.313 0.347
Sr5 0.150 0.814 0.358
Sr6 0.765 0.814 0.585
Rh1 0.966 0.314 0.482
Rh2 0.878 0.813 0.222


8.
Crystalline BP2OsS at its relaxed geometry. Source: the Alexandria database, functional GGA-PBE.

Calculated values
Size of the total moment = 0.00 μB per atom
Calculated density = 7.650 g cm⁻³
Relative energy among the computed polymorphs = 0.000 eV per atom
N(E_F) = 3.5 states/eV/f.u.
Formation energy (no corrections) = 1.04 eV/atom

abc: 3.967 3.967 4.069
angles: 90.00 90.00 90.00
Fractional coordinates of all 5 atoms:
P1 0.500 0.000 0.000
P2 0.000 0.500 0.000
Os1 0.500 0.500 0.500
B1 0.000 0.000 0.000
S1 0.000 0.000 0.500


9.
Crystalline LiLaNd2S4 at its relaxed geometry. Source: the Alexandria database, functional GGA-PBE.

Calculated values
Size of the total moment = 0.00 μB per atom
Calculated density = 4.942 g cm⁻³
N(E_F) = 2.6 states/eV/f.u.
Formation energy (no corrections) = -1.94 eV/atom

abc: 4.064 6.965 7.082
angles: 109.45 90.00 90.00
Fractional coordinates of all 8 atoms:
Nd1 0.500 0.000 0.500
Nd2 0.000 0.500 0.500
S1 0.500 0.742 0.752
S2 0.000 0.744 0.246
S3 0.000 0.256 0.754
S4 0.500 0.258 0.248
La1 0.000 0.000 0.000
Li1 0.500 0.500 0.000


10.
Crystalline Cs2NaF at its relaxed geometry. Source: the Alexandria database, functional GGA-PBE.

Calculated values
Size of the total moment = 0.00 μB per atom
Calculated density = 2.996 g cm⁻³
Relative energy among the computed polymorphs = 0.120 eV per atom
N(E_F) = 1.4 states/eV/f.u.
Formation energy (no corrections) = -1.15 eV/atom

abc: 4.001 4.001 10.656
angles: 90.00 90.00 90.00
Fractional coordinates of all 4 atoms:
Na1 0.500 0.500 0.500
Cs1 0.000 0.000 0.828
Cs2 0.000 0.000 0.172
F1 0.500 0.500 0.000


11.
Crystalline In2GaBP at its relaxed geometry. Source: the Alexandria database, functional GGA-PBE.

Calculated values
Formation energy from the elements = 2.73 eV per formula unit
Size of the total moment = 0.00 μB per atom
Calculated density = 5.426 g cm⁻³
N(E_F) = 2.6 states/eV/f.u.

abc: 5.294 3.725 5.294
angles: 90.00 90.00 90.00
Fractional coordinates of all 5 atoms:
In1 0.000 0.000 0.500
In2 0.500 0.000 0.000
Ga1 0.500 0.500 0.500
B1 0.000 0.000 0.000
P1 0.000 0.500 0.000


12.
Crystalline Tm2Ga4Ir5 at its relaxed geometry. Source: the Alexandria database, functional GGA-PBE.

Calculated values
Formation energy from the elements = -6.49 eV per formula unit
Size of the total moment = 0.00 μB per atom
Calculated density = 13.062 g cm⁻³
N(E_F) = 5.8 states/eV/f.u.

abc: 5.639 5.493 8.055
angles: 79.65 69.51 59.12
Fractional coordinates of all 11 atoms:
Tm1 0.884 0.000 0.231
Tm2 0.116 0.000 0.769
Ga1 0.476 0.311 0.737
Ga2 0.787 0.689 0.737
Ga3 0.213 0.311 0.263
Ga4 0.524 0.689 0.263
Ir1 0.500 0.000 0.000
Ir2 0.500 0.500 0.000
Ir3 0.000 0.500 0.000
Ir4 0.750 0.500 0.500
Ir5 0.250 0.500 0.500


13.
Crystalline Be2InBr at its relaxed geometry. Source: the Alexandria database, functional GGA-PBE.

Calculated values
Size of the total moment = 0.00 μB per atom
Calculated density = 4.493 g cm⁻³
Relative energy among the computed polymorphs = 0.428 eV per atom
N(E_F) = 1.0 states/eV/f.u.
Formation energy (no corrections) = 0.68 eV/atom

abc: 5.344 4.693 4.155
angles: 72.76 75.11 117.10
Fractional coordinates of all 4 atoms:
Be1 0.000 0.000 0.000
Be2 0.500 0.000 0.500
In1 0.500 0.500 0.000
Br1 0.000 0.500 0.500


14.
Crystalline K3TlF6 at its relaxed geometry. Source: the Alexandria database, functional GGA-PBE.

Calculated values
Size of the total moment = 0.00 μB per atom
Calculated density = 3.684 g cm⁻³
N(E_F) = 0.0 states/eV/f.u.
Formation energy (no corrections) = -2.47 eV/atom

abc: 6.593 6.457 6.521
angles: 118.94 120.96 90.09
Fractional coordinates of all 10 atoms:
F1 0.306 0.165 0.459
F2 0.694 0.835 0.541
F3 0.779 0.217 0.122
F4 0.163 0.307 0.011
F5 0.837 0.693 0.989
F6 0.221 0.783 0.878
K1 0.500 0.500 0.000
K2 0.745 0.253 0.526
K3 0.255 0.747 0.474
Tl1 0.000 0.000 0.000


15.
Crystalline AcDyErMg at its relaxed geometry. Source: the Alexandria database, functional GGA-PBE.

Calculated values
Formation energy from the elements = 0.63 eV per formula unit
Size of the total moment = 0.00 μB per atom
Calculated density = 7.449 g cm⁻³
N(E_F) = 6.8 states/eV/f.u.

abc: 5.679 5.679 5.679
angles: 60.00 60.00 60.00
Fractional coordinates of all 4 atoms:
Ac1 0.500 0.500 0.500
Dy1 0.250 0.250 0.250
Mg1 0.000 0.000 0.000
Er1 0.750 0.750 0.750


16.
Crystalline SiP2RuN at its relaxed geometry. Source: the Alexandria database, functional GGA-PBE.

Calculated values
Size of the total moment = 0.00 μB per atom
Calculated density = 4.935 g cm⁻³
Relative energy among the computed polymorphs = 0.112 eV per atom
N(E_F) = 2.5 states/eV/f.u.
Formation energy (no corrections) = -0.21 eV/atom

abc: 2.904 4.928 5.667
angles: 64.13 75.30 72.98
Fractional coordinates of all 5 atoms:
N1 0.600 0.793 0.739
Si1 0.232 0.574 0.692
P1 0.448 0.768 0.070
P2 0.204 0.199 0.123
Ru1 0.516 0.303 0.399


17.
Crystalline Sr2AgIrO6 at its relaxed geometry. Source: the Alexandria database, functional GGA-PBE.

Calculated values
Size of the total moment = 0.21 μB per atom
Calculated density = 6.650 g cm⁻³
N(E_F) = 4.4 states/eV/f.u.
Formation energy (no corrections) = -1.47 eV/atom

abc: 5.783 5.783 5.783
angles: 61.94 61.94 61.94
Each line ends with the local moment (μB).
Fractional coordinates of all 10 atoms:
Sr1 0.737 0.737 0.737  0.01
Sr2 0.236 0.236 0.236  0.01
O1 0.135 0.805 0.319  0.08
O2 0.805 0.319 0.135  0.08
O3 0.319 0.135 0.805  0.08
O4 0.857 0.232 0.694  0.15
O5 0.694 0.857 0.232  0.15
O6 0.232 0.694 0.857  0.15
Ag1 0.486 0.486 0.486  0.01
Ir1 0.000 0.000 0.000  1.04


18.
Crystalline La2TbP3Rh12 at its relaxed geometry. Source: the Alexandria database, functional GGA-PBE.

Calculated values
Formation energy from the elements = -6.80 eV per formula unit
Size of the total moment = 0.00 μB per atom
Calculated density = 9.586 g cm⁻³
N(E_F) = 18.0 states/eV/f.u.

abc: 6.799 6.799 6.799
angles: 81.89 81.89 81.89
Fractional coordinates of all 18 atoms:
Rh1 0.348 0.822 0.822
Rh2 0.916 0.350 0.350
Rh3 0.822 0.348 0.822
Rh4 0.350 0.916 0.350
Rh5 0.084 0.650 0.650
Rh6 0.350 0.350 0.916
Rh7 0.822 0.822 0.348
Rh8 0.652 0.178 0.178
Rh9 0.178 0.652 0.178
Rh10 0.650 0.084 0.650
Rh11 0.178 0.178 0.652
Rh12 0.650 0.650 0.084
La1 0.617 0.617 0.617
La2 0.383 0.383 0.383
P1 0.000 0.500 0.000
P2 0.000 0.000 0.500
P3 0.500 0.000 0.000
Tb1 0.000 0.000 0.000


19.
Crystalline BaSbAsPb2 at its relaxed geometry. Source: the Alexandria database, functional GGA-PBE.

Calculated values
Size of the total moment = 0.00 μB per atom
Calculated density = 7.285 g cm⁻³
N(E_F) = 0.8 states/eV/f.u.
Formation energy (no corrections) = -0.42 eV/atom

abc: 4.613 6.914 10.738
angles: 94.85 90.00 90.00
Fractional coordinates of all 10 atoms:
As1 0.750 0.760 0.038
As2 0.250 0.240 0.962
Ba1 0.250 0.983 0.219
Ba2 0.750 0.017 0.781
Sb1 0.250 0.189 0.544
Sb2 0.750 0.811 0.456
Pb1 0.750 0.478 0.630
Pb2 0.250 0.522 0.370
Pb3 0.750 0.384 0.118
Pb4 0.250 0.616 0.882


20.
Crystalline SmY3Ag2 at its relaxed geometry. Source: the Alexandria database, functional GGA-PBE.

Calculated values
Formation energy from the elements = -1.22 eV per formula unit
Size of the total moment = 0.00 μB per atom
Calculated density = 6.410 g cm⁻³
Relative energy among the computed polymorphs = 0.000 eV per atom
N(E_F) = 6.5 states/eV/f.u.

abc: 3.636 3.636 12.401
angles: 90.00 90.00 90.00
Fractional coordinates of all 6 atoms:
Y1 0.000 0.000 0.295
Y2 0.000 0.000 0.705
Y3 0.000 0.000 0.000
Sm1 0.500 0.500 0.500
Ag1 0.500 0.500 0.852
Ag2 0.500 0.500 0.148


21.
Crystalline CoC2N3 at its relaxed geometry. Source: the Alexandria database, functional GGA-PBE.

Calculated values
Size of the total moment = 0.33 μB per atom
Calculated density = 3.298 g cm⁻³
Relative energy among the computed polymorphs = 0.060 eV per atom
N(E_F) = 2.3 states/eV/f.u.
Formation energy (no corrections) = 0.55 eV/atom

abc: 3.153 3.153 21.929
angles: 90.00 90.00 120.00
Each line ends with the local moment (μB).
Fractional coordinates of all 18 atoms:
C1 0.990 0.375 0.221  -0.02
C2 0.375 0.990 0.779  -0.02
C3 0.385 0.010 0.888  -0.02
C4 0.010 0.385 0.112  -0.02
C5 0.615 0.625 0.445  -0.02
C6 0.625 0.615 0.555  -0.02
N1 0.587 0.563 0.609  0.03
N2 0.751 0.751 0.500  0.04
N3 0.000 0.249 0.167  0.04
N4 0.437 0.024 0.943  0.03
N5 0.976 0.413 0.276  0.03
N6 0.024 0.437 0.057  0.03
N7 0.563 0.587 0.391  0.03
N8 0.249 0.000 0.833  0.04
N9 0.413 0.976 0.724  0.03
Co1 0.383 0.000 0.333  1.94
Co2 0.000 0.383 0.667  1.94
Co3 0.617 0.617 0.000  1.94


22.
Crystalline TiSiSb3 at its relaxed geometry. Source: the Alexandria database, functional GGA-PBE.

Calculated values
Size of the total moment = 0.00 μB per atom
Calculated density = 5.420 g cm⁻³
Relative energy among the computed polymorphs = 0.267 eV per atom
N(E_F) = 8.3 states/eV/f.u.
Formation energy (no corrections) = 0.83 eV/atom

abc: 5.132 5.132 5.132
angles: 90.00 90.00 90.00
Fractional coordinates of all 5 atoms:
Si1 0.000 0.000 0.000
Sb1 0.500 0.000 0.000
Sb2 0.000 0.500 0.000
Sb3 0.000 0.000 0.500
Ti1 0.500 0.500 0.500


23.
Crystalline CrSbIr at its relaxed geometry. Source: the Alexandria database, functional GGA-PBE.

Calculated values
Size of the total moment = 1.15 μB per atom
Calculated density = 11.866 g cm⁻³
N(E_F) = 5.0 states/eV/f.u.
Formation energy (no corrections) = 0.28 eV/atom

abc: 4.834 4.834 4.834
angles: 142.50 131.07 63.23
Each line ends with the local moment (μB).
Fractional coordinates of all 3 atoms:
Cr1 0.010 0.010 0.000  3.07
Ir1 0.658 0.658 0.000  0.14
Sb1 0.332 0.332 0.000  -0.04


24.
Crystalline GaCuIrPt at its relaxed geometry. Source: the Alexandria database, functional GGA-PBE.

Calculated values
Formation energy from the elements = -1.22 eV per formula unit
Size of the total moment = 0.00 μB per atom
Calculated density = 15.412 g cm⁻³
N(E_F) = 1.4 states/eV/f.u.

abc: 4.297 4.297 4.297
angles: 60.00 60.00 60.00
Fractional coordinates of all 4 atoms:
Pt1 0.750 0.750 0.750
Ir1 0.250 0.250 0.250
Ga1 0.000 0.000 0.000
Cu1 0.500 0.500 0.500